Entry one
Below is a relaxed Sc5Sb3 crystal, with properties calculated at the PBEsol level.

As for the crystal system: tetragonal. As for the spin magnetization: 0.0 μB per cell.

a = 8.3266 Å, b = 8.3266 Å, c = 8.3266 Å
α = 96.90°, β = 96.90°, γ = 139.44°
Sites, in units of the cell vectors:
Sc: 0.0785 0.7779 0.8564
Sc: 0.2221 0.0785 0.3007
Sc: 0.2500 0.7500 0.5000
Sc: 0.2779 0.5785 0.8564
Sc: 0.4215 0.2779 0.6993
Sc: 0.5785 0.7221 0.3007
Sc: 0.7221 0.4215 0.1436
Sc: 0.7500 0.2500 0.5000
Sc: 0.7779 0.9215 0.6993
Sc: 0.9215 0.2221 0.1436
Sb: 0.1632 0.3368 0.5000
Sb: 0.2500 0.2500 0.0000
Sb: 0.3368 0.8368 0.1736
Sb: 0.6632 0.1632 0.8264
Sb: 0.7500 0.7500 0.0000
Sb: 0.8368 0.6632 0.5000


Entry two
Below is a relaxed Sc5Sb3 crystal, with properties calculated at the PBEsol level.

As for the crystal system: hexagonal. As for the spin magnetization: 0.7 μB per cell.

a = 8.3562 Å, b = 8.3562 Å, c = 5.8362 Å
α = 90.00°, β = 90.00°, γ = 120.00°
Sites, in units of the cell vectors:
Sc: 0.0000 0.2459 0.2500
Sc: 0.0000 0.7541 0.7500
Sc: 0.2459 0.0000 0.2500
Sc: 0.2459 0.2459 0.7500
Sc: 0.3333 0.6667 0.0000
Sc: 0.3333 0.6667 0.5000
Sc: 0.6667 0.3333 0.0000
Sc: 0.6667 0.3333 0.5000
Sc: 0.7541 0.0000 0.7500
Sc: 0.7541 0.7541 0.2500
Sb: 0.0000 0.3884 0.7500
Sb: 0.0000 0.6116 0.2500
Sb: 0.3884 0.0000 0.7500
Sb: 0.3884 0.3884 0.2500
Sb: 0.6116 0.0000 0.2500
Sb: 0.6116 0.6116 0.7500


Stability ranking, top and bottom: entry two is the most stable and entry one is the least stable.